This record from the Alexandria database describes a relaxed SrSb3C crystal. The functional is PBE.

Results
For the energy above the most stable polymorph in this dataset, the calculation gives 0.00 eV per formula unit. Its uncorrected energy is -4.16 eV per atom. The value obtained for the uncorrected formation energy is 0.4932 eV/atom.

```
SrSb3C
1.0
4.987 0.000 0.000
0.000 4.987 0.000
0.000 0.000 4.987
Sb C Sr
3 1 1
Cartesian
0.000 0.000 2.493
0.000 2.493 0.000
2.493 0.000 0.000
0.000 0.000 0.000
2.493 2.493 2.493
```